<i>
# TcAsPO

Crystalline TcAsPO at its relaxed geometry (GGA-PBE, the Open Quantum Materials Database).

abc: 3.281 6.287 7.468
angles: 90.00 90.00 90.00
Fractional coordinates of all 8 atoms:
P: 0.500 0.862 0.301
P: 0.500 0.138 0.801
Tc: 0.500 0.837 0.994
As: 0.000 0.789 0.513
As: 0.000 0.211 0.013
O: 0.000 0.698 0.946
O: 0.000 0.302 0.446
Tc: 0.500 0.163 0.494

Calculated values
As for the space-group type: No. 26. The value obtained for the magnetic moment is 0.0 Bohr magnetons per cell.

<ii>
# TcAsPO

Crystalline TcAsPO at its relaxed geometry (GGA-PBE, the Open Quantum Materials Database).

abc: 2.921 7.228 5.672
angles: 90.00 90.00 90.00
Fractional coordinates of all 8 atoms:
Tc: 0.500 0.000 0.626
O: 0.500 0.193 0.877
As: 0.000 0.496 0.874
O: 0.500 0.807 0.377
Tc: 0.500 0.000 0.126
P: 0.000 0.818 0.876
As: 0.000 0.504 0.374
P: 0.000 0.182 0.376

Calculated values
As for the space-group type: No. 26. The value obtained for the magnetic moment is 0.0 Bohr magnetons per cell.

<iii>
# TcAsPO

Crystalline TcAsPO at its relaxed geometry (GGA-PBE, the Open Quantum Materials Database).

abc: 3.865 3.865 8.121
angles: 90.00 90.00 90.00
Fractional coordinates of all 8 atoms:
P: 0.500 0.500 0.331
O: 0.500 0.000 0.000
Tc: 0.000 0.500 0.500
P: 0.000 0.000 0.669
As: 0.000 0.000 0.120
Tc: 0.500 0.000 0.500
O: 0.000 0.500 0.000
As: 0.500 0.500 0.880

Calculated values
As for the space-group type: No. 129. The value obtained for the magnetic moment is 0.0 Bohr magnetons per cell.

<ii> takes first place; second place is 77 meV/atom up.

<i>
# ZrAsPO

Crystalline ZrAsPO at its relaxed geometry (GGA-PBE, the Open Quantum Materials Database).

abc: 5.042 5.042 4.782
angles: 90.00 90.00 90.00
Fractional coordinates of all 8 atoms:
O: 0.500 0.500 0.000
Zr: 0.500 0.500 0.500
P: 0.500 0.000 0.317
P: 0.000 0.500 0.683
As: 0.500 0.000 0.840
O: 0.000 0.000 0.000
As: 0.000 0.500 0.160
Zr: 0.000 0.000 0.500

Calculated values
As for the space-group type: No. 129. The value obtained for the magnetic moment is 0.0 Bohr magnetons per cell.

<ii>
# ZrAsPO

Crystalline ZrAsPO at its relaxed geometry (GGA-PBE, the Open Quantum Materials Database).

abc: 3.619 3.619 9.757
angles: 90.00 90.00 90.00
Fractional coordinates of all 8 atoms:
Zr: 0.500 0.000 0.871
O: 0.000 0.000 0.000
Zr: 0.000 0.500 0.129
O: 0.500 0.500 0.000
As: 0.500 0.500 0.500
P: 0.000 0.500 0.741
P: 0.500 0.000 0.259
As: 0.000 0.000 0.500

Calculated values
As for the space-group type: No. 129. The value obtained for the magnetic moment is 0.0 Bohr magnetons per cell.

<iii>
# ZrAsPO

Crystalline ZrAsPO at its relaxed geometry (GGA-PBE, the Open Quantum Materials Database).

abc: 3.741 5.733 7.341
angles: 90.00 90.00 90.00
Fractional coordinates of all 8 atoms:
Zr: 0.500 0.547 0.502
P: 0.000 0.855 0.405
As: 0.000 0.810 0.084
P: 0.000 0.145 0.905
O: 0.500 0.632 0.764
As: 0.000 0.190 0.584
O: 0.500 0.368 0.264
Zr: 0.500 0.453 0.002

Calculated values
As for the space-group type: No. 26. The value obtained for the magnetic moment is 0.0 Bohr magnetons per cell.

<ii> takes first place; second place is 38 meV/atom up.

<i>
# PaAs2O

Crystalline PaAs2O at its relaxed geometry (GGA-PBE, the Open Quantum Materials Database).

abc: 4.269 6.248 6.739
angles: 90.00 90.00 90.00
Fractional coordinates of all 8 atoms:
Pa: 0.000 0.381 0.946
O: 0.000 0.656 0.754
As: 0.500 0.937 0.434
O: 0.000 0.344 0.254
As: 0.500 0.063 0.934
Pa: 0.000 0.619 0.446
As: 0.500 0.305 0.620
As: 0.500 0.695 0.120

Calculated values
As for the space-group type: No. 26. The value obtained for the magnetic moment is 0.0 Bohr magnetons per cell.

<ii>
# PaAs2O

Crystalline PaAs2O at its relaxed geometry (GGA-PBE, the Open Quantum Materials Database).

abc: 3.922 3.922 9.970
angles: 90.00 90.00 90.00
Fractional coordinates of all 8 atoms:
As: 0.000 0.500 0.731
Pa: 0.500 0.000 0.862
As: 0.500 0.500 0.500
Pa: 0.000 0.500 0.138
O: 0.500 0.500 0.000
As: 0.000 0.000 0.500
O: 0.000 0.000 0.000
As: 0.500 0.000 0.269

Calculated values
As for the space-group type: No. 129. The value obtained for the magnetic moment is 1.9 Bohr magnetons per cell.

<ii> takes first place; second place is 144 meV/atom up.

<i>
# Pa2As2O5

Crystalline Pa2As2O5 at its relaxed geometry (GGA-PBE, the Open Quantum Materials Database).

abc: 8.138 4.112 4.112
angles: 90.00 90.00 90.00
Fractional coordinates of all 9 atoms:
O: 0.676 0.500 0.000
Pa: 0.234 0.500 0.500
Pa: 0.766 0.500 0.500
As: 0.500 0.000 0.000
O: 0.324 0.000 0.500
O: 0.676 0.000 0.500
O: 0.324 0.500 0.000
As: 0.000 0.000 0.000
O: 0.500 0.500 0.500

Calculated values
As for the space-group type: No. 123. The value obtained for the magnetic moment is 0.0 Bohr magnetons per cell.

<ii>
# Pa2As2O5

Crystalline Pa2As2O5 at its relaxed geometry (GGA-PBE, the Open Quantum Materials Database).

abc: 6.855 4.138 4.138
angles: 90.00 90.00 90.00
Fractional coordinates of all 9 atoms:
O: 0.736 0.500 0.000
O: 0.500 0.500 0.500
As: 0.191 0.500 0.500
Pa: 0.000 0.000 0.000
O: 0.264 0.000 0.500
As: 0.809 0.500 0.500
O: 0.736 0.000 0.500
O: 0.264 0.500 0.000
Pa: 0.500 0.000 0.000

Calculated values
As for the space-group type: No. 123. The value obtained for the magnetic moment is 2.2 Bohr magnetons per cell.

<i> takes first place; second place is 436 meV/atom up.

<i>
# PaAsPbO

Crystalline PaAsPbO at its relaxed geometry (GGA-PBE, the Open Quantum Materials Database).

abc: 4.433 4.433 9.299
angles: 90.00 90.00 90.00
Fractional coordinates of all 8 atoms:
As: 0.000 0.500 0.298
Pb: 0.500 0.000 0.109
Pa: 0.500 0.500 0.500
Pa: 0.000 0.000 0.500
Pb: 0.000 0.500 0.891
O: 0.500 0.500 0.000
O: 0.000 0.000 0.000
As: 0.500 0.000 0.702

Calculated values
As for the space-group type: No. 129. The value obtained for the magnetic moment is 1.5 Bohr magnetons per cell.

<ii>
# PaAsPbO

Crystalline PaAsPbO at its relaxed geometry (GGA-PBE, the Open Quantum Materials Database).

abc: 4.152 4.152 10.161
angles: 90.00 90.00 90.00
Fractional coordinates of all 8 atoms:
Pb: 0.000 0.000 0.500
As: 0.500 0.000 0.750
Pb: 0.500 0.500 0.500
O: 0.500 0.500 0.000
Pa: 0.000 0.500 0.877
Pa: 0.500 0.000 0.123
O: 0.000 0.000 0.000
As: 0.000 0.500 0.250

Calculated values
As for the space-group type: No. 129. The value obtained for the magnetic moment is 2.0 Bohr magnetons per cell.

<ii> takes first place; second place is 932 meV/atom up.

<i>
# PaAsPdO

Crystalline PaAsPdO at its relaxed geometry (GGA-PBE, the Open Quantum Materials Database).

abc: 3.959 3.959 8.270
angles: 90.00 90.00 90.00
Fractional coordinates of all 8 atoms:
As: 0.750 0.750 0.300
Pd: 0.750 0.250 0.500
Pa: 0.250 0.250 0.166
Pd: 0.250 0.750 0.500
O: 0.250 0.750 0.000
Pa: 0.750 0.750 0.834
As: 0.250 0.250 0.700
O: 0.750 0.250 0.000

Calculated values
As for the space-group type: No. 129. The value obtained for the magnetic moment is 0.0 Bohr magnetons per cell.

<ii>
# PaAsPdO

Crystalline PaAsPdO at its relaxed geometry (GGA-PBE, the Open Quantum Materials Database).

abc: 4.396 4.396 7.363
angles: 90.00 90.00 90.00
Fractional coordinates of all 8 atoms:
As: 0.500 0.000 0.749
Pd: 0.000 0.500 0.920
Pa: 0.500 0.500 0.500
Pd: 0.500 0.000 0.080
O: 0.500 0.500 0.000
As: 0.000 0.500 0.251
O: 0.000 0.000 0.000
Pa: 0.000 0.000 0.500

Calculated values
As for the space-group type: No. 129. The value obtained for the magnetic moment is 0.0 Bohr magnetons per cell.

<iii>
# PaAsPdO

Crystalline PaAsPdO at its relaxed geometry (GGA-PBE, the Open Quantum Materials Database).

abc: 5.566 5.566 4.608
angles: 90.00 90.00 90.00
Fractional coordinates of all 8 atoms:
As: 0.250 0.250 0.539
Pa: 0.750 0.250 0.500
Pa: 0.250 0.750 0.500
Pd: 0.750 0.750 0.960
As: 0.750 0.750 0.461
O: 0.250 0.750 0.000
O: 0.750 0.250 0.000
Pd: 0.250 0.250 0.040

Calculated values
As for the space-group type: No. 129. The value obtained for the magnetic moment is 0.0 Bohr magnetons per cell.

<i> takes first place; second place is 641 meV/atom up.

<i>
# PaAsPtO

Crystalline PaAsPtO at its relaxed geometry (GGA-PBE, the Open Quantum Materials Database).

abc: 3.907 6.600 5.965
angles: 90.00 90.00 90.00
Fractional coordinates of all 8 atoms:
O: 0.500 0.111 0.442
Pa: 0.000 0.234 0.386
As: 0.000 0.255 0.884
Pt: 0.500 0.430 0.042
As: 0.000 0.745 0.384
O: 0.500 0.889 0.942
Pa: 0.000 0.766 0.886
Pt: 0.500 0.570 0.542

Calculated values
As for the space-group type: No. 26. The value obtained for the magnetic moment is 0.0 Bohr magnetons per cell.

<ii>
# PaAsPtO

Crystalline PaAsPtO at its relaxed geometry (GGA-PBE, the Open Quantum Materials Database).

abc: 5.196 5.196 4.925
angles: 90.00 90.00 90.00
Fractional coordinates of all 8 atoms:
As: 0.250 0.250 0.739
O: 0.750 0.250 0.000
Pt: 0.750 0.750 0.774
O: 0.250 0.750 0.000
Pt: 0.250 0.250 0.226
As: 0.750 0.750 0.261
Pa: 0.250 0.750 0.500
Pa: 0.750 0.250 0.500

Calculated values
As for the space-group type: No. 129. The value obtained for the magnetic moment is 0.0 Bohr magnetons per cell.

<i> takes first place; second place is 641 meV/atom up.

<i>
# PaReAsO

Crystalline PaReAsO at its relaxed geometry (GGA-PBE, the Open Quantum Materials Database).

abc: 4.234 4.234 7.113
angles: 90.00 90.00 90.00
Fractional coordinates of all 8 atoms:
O: 0.250 0.750 0.000
Pa: 0.250 0.750 0.500
Re: 0.750 0.750 0.852
Re: 0.250 0.250 0.148
As: 0.750 0.750 0.207
As: 0.250 0.250 0.793
Pa: 0.750 0.250 0.500
O: 0.750 0.250 0.000

Calculated values
As for the space-group type: No. 129. The value obtained for the magnetic moment is 0.0 Bohr magnetons per cell.

<ii>
# PaReAsO

Crystalline PaReAsO at its relaxed geometry (GGA-PBE, the Open Quantum Materials Database).

abc: 4.077 4.077 8.145
angles: 90.00 90.00 90.00
Fractional coordinates of all 8 atoms:
As: 0.500 0.000 0.678
As: 0.000 0.500 0.322
O: 0.500 0.500 0.000
Pa: 0.500 0.000 0.160
Pa: 0.000 0.500 0.840
O: 0.000 0.000 0.000
Re: 0.500 0.500 0.500
Re: 0.000 0.000 0.500

Calculated values
As for the space-group type: No. 129. The value obtained for the magnetic moment is 1.5 Bohr magnetons per cell.

<ii> takes first place; second place is 1564 meV/atom up.

<i>
# PaSbAsO

Crystalline PaSbAsO at its relaxed geometry (GGA-PBE, the Open Quantum Materials Database).

abc: 4.084 4.084 10.166
angles: 90.00 90.00 90.00
Fractional coordinates of all 8 atoms:
O: 0.750 0.250 0.000
Sb: 0.250 0.750 0.500
O: 0.250 0.750 0.000
Sb: 0.750 0.250 0.500
As: 0.250 0.250 0.746
Pa: 0.250 0.250 0.128
Pa: 0.750 0.750 0.872
As: 0.750 0.750 0.254

Calculated values
As for the space-group type: No. 129. The value obtained for the magnetic moment is 1.9 Bohr magnetons per cell.

<ii>
# PaSbAsO

Crystalline PaSbAsO at its relaxed geometry (GGA-PBE, the Open Quantum Materials Database).

abc: 4.332 4.332 8.879
angles: 90.00 90.00 90.00
Fractional coordinates of all 8 atoms:
As: 0.000 0.500 0.275
O: 0.000 0.000 0.000
Pa: 0.500 0.500 0.500
As: 0.500 0.000 0.725
Pa: 0.000 0.000 0.500
Sb: 0.000 0.500 0.900
Sb: 0.500 0.000 0.100
O: 0.500 0.500 0.000

Calculated values
As for the space-group type: No. 129. The value obtained for the magnetic moment is 0.1 Bohr magnetons per cell.

<i> takes first place; second place is 1002 meV/atom up.

<i>
# PaSnAsO

Crystalline PaSnAsO at its relaxed geometry (GGA-PBE, the Open Quantum Materials Database).

abc: 4.041 4.041 10.452
angles: 90.00 90.00 90.00
Fractional coordinates of all 8 atoms:
Pa: 0.500 0.000 0.126
Sn: 0.500 0.500 0.500
O: 0.500 0.500 0.000
Sn: 0.000 0.000 0.500
As: 0.000 0.500 0.255
Pa: 0.000 0.500 0.874
O: 0.000 0.000 0.000
As: 0.500 0.000 0.745

Calculated values
As for the space-group type: No. 129. The value obtained for the magnetic moment is 2.0 Bohr magnetons per cell.

<ii>
# PaSnAsO

Crystalline PaSnAsO at its relaxed geometry (GGA-PBE, the Open Quantum Materials Database).

abc: 4.443 4.443 8.181
angles: 90.00 90.00 90.00
Fractional coordinates of all 8 atoms:
O: 0.500 0.500 0.000
Sn: 0.500 0.000 0.102
As: 0.000 0.500 0.272
Sn: 0.000 0.500 0.898
Pa: 0.000 0.000 0.500
Pa: 0.500 0.500 0.500
O: 0.000 0.000 0.000
As: 0.500 0.000 0.728

Calculated values
As for the space-group type: No. 129. The value obtained for the magnetic moment is 0.1 Bohr magnetons per cell.

<i> takes first place; second place is 952 meV/atom up.